Entry 1:
Material: SrAl2Ir
Method: DFT, SCAN
State: single point on PBEsol structure

Properties
- crystal system = trigonal
- energy of formation from the pure elements (eV per atom) = -0.73
- E (eV/atom) = -27.948

Structure (POSCAR):
```
SrAl2Ir
1.0
-1.9618 -2.2565 3.1268
0.3276 -4.3131 0.0860
4.0524 -1.7773 4.2529
Sr Ir Al
1 1 2
Cartesian
1.7446 -6.2664 5.5515
0.2196 -4.2623 3.0480
-0.8733 -6.5013 3.7395
0.9282 -2.0577 2.0905
```


Entry 2:
Material: SrAlIr2
Method: DFT, SCAN
State: single point on PBEsol structure

Properties
- crystal system = monoclinic
- energy of formation from the pure elements (eV per atom) = -0.12
- E (eV/atom) = -43.176

Structure (POSCAR):
```
SrAlIr2
1.0
2.8804 0.0000 0.0124
0.0000 4.3431 0.0000
-1.0302 0.0000 6.1730
Sr Ir Al
1 2 1
Cartesian
0.9618 0.0000 3.0865
0.4071 0.0000 0.2675
1.9217 2.1715 0.8890
-0.5153 2.1715 5.0351
```


Entry 3:
Material: Sr2AlIr
Method: DFT, SCAN
State: single point on PBEsol structure

Properties
- crystal system = monoclinic
- energy of formation from the pure elements (eV per atom) = -0.54
- E (eV/atom) = -31.389

Structure (POSCAR):
```
Sr2AlIr
1.0
4.2728 0.0000 0.0000
-2.1364 3.6930 -0.0288
0.0000 -2.3789 8.0869
Sr Ir Al
2 1 1
Cartesian
0.0000 0.0133 0.9267
0.0000 0.0462 5.1211
2.1364 1.2647 3.0212
0.0000 2.4935 3.0038
```


Entry 4:
Material: SrAl2Ir2
Method: DFT, SCAN
State: single point on PBEsol structure

Properties
- crystal system = tetragonal
- energy of formation from the pure elements (eV per atom) = -0.84
- E (eV/atom) = -36.834

Structure (POSCAR):
```
SrAl2Ir2
1.0
4.1722 0.0000 0.0000
0.0000 4.1722 0.0000
-2.0861 -2.0861 5.3949
Sr Ir Al
1 2 2
Cartesian
0.0000 0.0000 0.0000
2.0861 2.0861 1.2685
0.0000 0.0000 4.1264
0.0000 2.0861 2.6974
2.0861 0.0000 2.6974
```


Entry 5:
Material: SrAl2Ir
Method: DFT, SCAN
State: single point on PBEsol structure

Properties
- crystal system = trigonal
- energy of formation from the pure elements (eV per atom) = -0.75
- E (eV/atom) = -27.966

Structure (POSCAR):
```
SrAl2Ir
1.0
4.2847 0.0000 0.0000
2.1424 3.7107 0.0000
2.1424 1.2369 5.5466
Sr Ir Al
1 1 2
Cartesian
4.2847 2.4738 2.7733
0.0000 0.0000 0.0000
6.4271 3.7107 5.0559
2.1424 1.2369 0.4907
```


Entry 6:
Material: TaAl2Ir
Method: DFT, SCAN
State: single point on PBEsol structure

Properties
- energy above the lowest structure with this stoichiometry (eV per atom) = 0.175
- crystal system = tetragonal
- energy of formation from the pure elements (eV per atom) = -0.60
- E (eV/atom) = -38.901

Structure (POSCAR):
```
TaAl2Ir
1.0
-0.9333 1.9136 2.1673
-2.7543 0.1040 -1.2779
-1.8720 -5.0198 3.6262
Ir Al Ta
1 2 1
Cartesian
-0.8790 -2.3570 1.7026
-0.0252 -0.0675 0.0488
-2.3346 -0.3073 1.3954
-3.2568 -2.7803 3.1818
```


Entry 7:
Material: TaAl2Ir
Method: DFT, SCAN
State: single point on PBEsol structure

Properties
- energy above the lowest structure with this stoichiometry (eV per atom) = 0.000
- crystal system = tetragonal
- energy of formation from the pure elements (eV per atom) = -0.78
- E (eV/atom) = -39.076

Structure (POSCAR):
```
TaAl2Ir
1.0
2.9118 0.0000 0.0000
0.0000 2.9118 0.0000
0.0000 0.0000 6.9984
Ir Al Ta
1 2 1
Cartesian
1.4559 1.4559 0.0000
0.0000 0.0000 5.4610
0.0000 0.0000 1.5375
1.4559 1.4559 3.4992
```


Entry 8:
Material: TaAlIr2
Method: DFT, SCAN
State: single point on PBEsol structure

Properties
- crystal system = orthorhombic
- energy of formation from the pure elements (eV per atom) = -0.92
- E (eV/atom) = -55.054

Structure (POSCAR):
```
TaAlIr2
1.0
2.8477 0.0000 0.0000
0.0000 3.6004 0.0000
0.0000 0.0000 5.7634
Ir Al Ta
2 1 1
Cartesian
0.0000 0.0000 4.2764
0.0000 0.0000 1.4870
1.4238 1.8002 2.8817
1.4238 1.8002 0.0000
```


Entry 9:
Material: TaAlIr2
Method: DFT, SCAN
State: single point on PBEsol structure

Properties
- crystal system = orthorhombic
- energy of formation from the pure elements (eV per atom) = -0.71
- E (eV/atom) = -54.845

Structure (POSCAR):
```
TaAlIr2
1.0
2.8337 0.0000 0.0000
0.0000 4.0055 0.0000
0.0000 0.0000 5.3397
Ir Al Ta
2 1 1
Cartesian
0.0000 0.0000 5.0785
1.4169 2.0027 1.4984
1.4169 2.0027 4.2102
0.0000 0.0000 2.5622
```


Entry 10:
Material: Ta2AlIr
Method: DFT, SCAN
State: single point on PBEsol structure

Properties
- crystal system = orthorhombic
- energy of formation from the pure elements (eV per atom) = -0.46
- E (eV/atom) = -53.463

Structure (POSCAR):
```
Ta2AlIr
1.0
-1.7136 -2.3204 0.6234
-0.1050 -0.8673 -3.5167
4.8610 -3.4033 0.6942
Ir Al Ta
1 1 2
Cartesian
2.6492 -4.0852 -0.9384
2.5155 -1.7612 0.3593
4.8224 -3.3762 0.6887
0.3469 -2.4733 -1.2672
```


Entry 11:
Material: TaAlIr2
Method: DFT, SCAN
State: single point on PBEsol structure

Properties
- crystal system = tetragonal
- energy of formation from the pure elements (eV per atom) = -1.04
- E (eV/atom) = -55.172

Structure (POSCAR):
```
TaAlIr2
1.0
-0.0709 -0.7102 -2.7940
-2.0529 -1.9497 0.5478
-4.8959 4.8442 -1.1071
Ir Al Ta
2 1 1
Cartesian
-3.5683 3.5306 -0.8069
-1.3276 1.3136 -0.3002
-3.5099 1.0921 -1.6767
-1.0619 -1.3300 -1.1231
```


Entry 12:
Material: Ta2AlIr
Method: DFT, SCAN
State: single point on PBEsol structure

Properties
- crystal system = orthorhombic
- energy of formation from the pure elements (eV per atom) = -0.43
- E (eV/atom) = -53.437

Structure (POSCAR):
```
Ta2AlIr
1.0
3.4734 0.0000 0.0000
0.0000 4.1420 0.0000
-1.7367 -2.0710 4.4443
Ir Al Ta
1 1 2
Cartesian
0.0000 2.0710 2.2199
1.7367 2.0710 0.0965
1.7367 2.0710 4.3851
1.7367 0.0000 2.1870
```


Entry 13:
Material: Tb2Al9Ir3
Method: DFT, SCAN
State: single point on PBEsol structure

Properties
- crystal system = orthorhombic
- energy of formation from the pure elements (eV per atom) = -1.02
- E (eV/atom) = -27.918

Structure (POSCAR):
```
Tb2Al9Ir3
1.0
-2.1820 -7.0829 -1.1012
6.7015 2.2243 -2.5067
3.8859 -2.4713 8.1960
Tb Al Ir
4 18 6
Cartesian
8.1153 -4.3990 2.9136
0.2902 -2.9310 1.6745
5.2458 -7.4053 3.3675
3.1596 0.0754 1.2205
3.4964 -2.4791 5.6824
4.9091 -4.8509 -1.0943
2.8686 -4.6613 7.2121
5.5369 -2.6687 -2.6240
6.8991 -3.5350 0.2490
4.4801 -0.6795 3.8687
1.5064 -3.7950 4.3391
3.9254 -6.6505 0.7194
2.5633 -5.7842 -2.1535
5.8422 -1.5458 6.7416
3.2492 -2.7270 2.4780
5.1563 -4.6029 2.1100
6.7022 -5.5861 5.3706
1.7033 -1.7439 -0.7825
3.9936 -4.9916 4.6891
4.4119 -2.3384 -0.1010
5.8572 -3.0391 4.3942
2.5483 -4.2909 0.1938
3.7869 -0.8293 -2.0455
0.7326 -4.0293 -1.5623
2.6756 -5.2650 2.5357
5.7299 -2.0650 2.0524
0.0000 0.0000 0.0000
1.9430 -1.2357 4.0980
```


Entry 14:
Material: Al2TcIr
Method: DFT, SCAN
State: single point on PBEsol structure

Properties
- energy above the lowest structure with this stoichiometry (eV per atom) = 0.369
- crystal system = orthorhombic
- energy of formation from the pure elements (eV per atom) = -0.48
- E (eV/atom) = -30.898

Structure (POSCAR):
```
Al2TcIr
1.0
-1.2621 1.3404 2.2526
-1.8040 -3.5217 1.0848
3.7311 -1.0710 2.7278
Ir Tc Al
1 1 2
Cartesian
-1.5330 -1.0906 1.6687
0.9636 -2.2964 1.9063
0.0000 0.0000 0.0000
1.2345 0.1347 2.4902
```